VASP calculation (PBE) on crystalline Sr2LaCr at its relaxed geometry.

abc: 12.034 12.034 12.034
angles: 18.79 18.79 18.79
Each line ends with the local moment (μB).
Positions (direct):
Sr: 0.989 0.989 0.989  0.01
La: 0.750 0.750 0.750  -0.01
Sr: 0.511 0.511 0.511  0.01
Cr: 0.250 0.250 0.250  4.03

Values from the calculation:
- energy above the most stable polymorph in this dataset (meV per atom) = 257.6
- formation energy from the elements (kJ per mole of atoms) = 56.7
- calculated volume (Å³/f.u.) = 158.1